The following is a PBE calculation of a relaxed structure of Y3Tm2ScP2Os, from the Open Quantum Materials Database.

a b c (Å): 4.106 7.599 7.599
angles (deg): 119.87 90.00 90.00
Positions (direct):
1 Os 0.000 0.981 0.981
2 P 0.500 0.669 0.341
3 P 0.500 0.341 0.669
4 Sc 0.500 0.752 0.752
5 Tm 0.500 0.245 0.002
6 Tm 0.500 0.002 0.245
7 Y 0.000 0.420 0.420
8 Y 0.000 0.998 0.592
9 Y 0.000 0.592 0.998

Electronic total energy   -7.11 eV/atom
Volume   22.846 Å³/atom
Total moment   0.003 μB per atom
SG   No. 38

The following is a PBE calculation of a relaxed structure of YTm2Sc3P2Os, from the Open Quantum Materials Database.

a b c (Å): 4.051 7.377 7.377
angles (deg): 119.92 90.00 90.00
Positions (direct):
1 Os 0.000 0.993 0.993
2 P 0.500 0.670 0.333
3 P 0.500 0.333 0.670
4 Sc 0.500 0.242 0.001
5 Sc 0.500 0.001 0.242
6 Sc 0.500 0.755 0.755
7 Tm 0.000 0.591 0.002
8 Tm 0.000 0.002 0.591
9 Y 0.000 0.414 0.414

Electronic total energy   -7.13 eV/atom
Volume   21.225 Å³/atom
Total moment   0.005 μB per atom
SG   No. 38

The following is a PBE calculation of a relaxed structure of Y3TmSc2P2Os, from the Open Quantum Materials Database.

a b c (Å): 4.089 7.502 7.502
angles (deg): 119.82 90.00 90.00
Positions (direct):
1 Os 0.000 0.986 0.986
2 P 0.500 0.673 0.336
3 P 0.500 0.336 0.673
4 Sc 0.500 0.757 0.002
5 Sc 0.500 0.002 0.757
6 Tm 0.500 0.241 0.241
7 Y 0.000 0.997 0.415
8 Y 0.000 0.593 0.593
9 Y 0.000 0.415 0.997

Electronic total energy   -7.34 eV/atom
Volume   22.184 Å³/atom
Total moment   0.003 μB per atom
SG   No. 38

The following is a PBE calculation of a relaxed structure of POsSe, from the Open Quantum Materials Database.

a b c (Å): 5.987 5.981 6.076
angles (deg): 90.00 112.16 90.00
Positions (direct):
1 Os 0.737 0.488 0.209
2 Os 0.263 0.988 0.291
3 Os 0.737 0.012 0.709
4 Os 0.263 0.512 0.791
5 P 0.858 0.131 0.116
6 P 0.142 0.631 0.384
7 P 0.858 0.369 0.616
8 P 0.142 0.869 0.884
9 Se 0.335 0.375 0.194
10 Se 0.665 0.875 0.306
11 Se 0.335 0.125 0.694
12 Se 0.665 0.625 0.806

Electronic total energy   -7.02 eV/atom
Volume   16.790 Å³/atom
Total moment   0.000 μB per atom
SG   No. 14

The following is a PBE calculation of a relaxed structure of POsSe, from the Open Quantum Materials Database.

a b c (Å): 6.007 5.977 6.099
angles (deg): 90.00 112.23 90.00
Positions (direct):
1 Os 0.782 0.508 0.033
2 Os 0.234 0.508 0.449
3 Os 0.766 0.008 0.551
4 Os 0.218 0.008 0.967
5 P 0.155 0.364 0.072
6 P 0.351 0.872 0.372
7 P 0.649 0.372 0.628
8 P 0.845 0.864 0.928
9 Se 0.656 0.119 0.120
10 Se 0.837 0.626 0.437
11 Se 0.163 0.126 0.563
12 Se 0.344 0.619 0.880

Electronic total energy   -7.08 eV/atom
Volume   16.891 Å³/atom
Total moment   0.000 μB per atom
SG   No. 4

The following is a PBE calculation of a relaxed structure of Si4P4Os, from the Open Quantum Materials Database.

a b c (Å): 4.976 5.644 6.212
angles (deg): 85.72 68.38 70.96
Positions (direct):
1 Os 0.000 0.000 0.999
2 P 0.622 0.410 0.122
3 P 0.160 0.015 0.319
4 P 0.767 0.641 0.563
5 P 0.341 0.226 0.758
6 Si 0.669 0.777 0.228
7 Si 0.237 0.345 0.432
8 Si 0.843 0.974 0.688
9 Si 0.362 0.594 0.881

Electronic total energy   -6.39 eV/atom
Volume   17.014 Å³/atom
Total moment   0.000 μB per atom
SG   No. 1

The following is a PBE calculation of a relaxed structure of SrSiPOs2, from the Open Quantum Materials Database.

a b c (Å): 5.965 5.965 5.965
angles (deg): 139.07 139.07 59.27
Positions (direct):
1 Os 0.748 0.248 0.500
2 Os 0.248 0.748 0.500
3 P 0.642 0.642 0.000
4 Si 0.361 0.361 0.000
5 Sr 0.002 0.002 0.000

Electronic total energy   -7.56 eV/atom
Volume   18.038 Å³/atom
Total moment   0.000 μB per atom
SG   No. 107

The following is a PBE calculation of a relaxed structure of Sr2SiP6Os, from the Open Quantum Materials Database.

a b c (Å): 6.520 6.475 9.998
angles (deg): 90.00 110.58 90.00
Positions (direct):
1 Os 0.000 0.000 0.000
2 Os 0.000 0.500 0.500
3 P 0.366 0.173 0.040
4 P 0.828 0.295 0.056
5 P 0.797 0.452 0.244
6 P 0.203 0.952 0.256
7 P 0.172 0.795 0.444
8 P 0.634 0.673 0.460
9 P 0.366 0.327 0.540
10 P 0.828 0.205 0.556
11 P 0.797 0.048 0.744
12 P 0.203 0.548 0.756
13 P 0.172 0.705 0.944
14 P 0.634 0.827 0.960
15 Si 0.500 0.500 0.000
16 Si 0.500 0.000 0.500
17 Sr 0.266 0.466 0.237
18 Sr 0.734 0.966 0.263
19 Sr 0.266 0.034 0.737
20 Sr 0.734 0.534 0.763

Electronic total energy   -5.49 eV/atom
Volume   19.757 Å³/atom
Energy above the most stable polymorph in this dataset   14.8 meV/atom
Total moment   0.000 μB per atom
SG   No. 14

What did the fifth record say?
The following is a PBE calculation of a relaxed structure of POsSe, from the Open Quantum Materials Database.

a b c (Å): 6.007 5.977 6.099
angles (deg): 90.00 112.23 90.00
Positions (direct):
1 Os 0.782 0.508 0.033
2 Os 0.234 0.508 0.449
3 Os 0.766 0.008 0.551
4 Os 0.218 0.008 0.967
5 P 0.155 0.364 0.072
6 P 0.351 0.872 0.372
7 P 0.649 0.372 0.628
8 P 0.845 0.864 0.928
9 Se 0.656 0.119 0.120
10 Se 0.837 0.626 0.437
11 Se 0.163 0.126 0.563
12 Se 0.344 0.619 0.880

Electronic total energy   -7.08 eV/atom
Volume   16.891 Å³/atom
Total moment   0.000 μB per atom
SG   No. 4